A:
DFT (GGA-PBE) results for an optimized crystal structure of W5Au3.

Geometry as POSCAR:
```
W5Au3
1.0
5.0459 0.0000 0.0019
2.5230 7.3042 0.0010
2.5239 0.0000 7.3050
Au W
6 10
direct
0.6734 0.1533 0.5004 Au
0.2500 0.9999 0.0004 Au
0.1734 0.5000 0.1538 Au
0.8264 0.5000 0.8471 Au
0.7500 0.0001 0.0004 Au
0.3267 0.8467 0.5004 Au
0.2395 0.6880 0.8328 W
0.9279 0.8324 0.3124 W
0.7499 0.5000 0.5007 W
0.4275 0.3120 0.8328 W
0.7399 0.8323 0.6884 W
0.2603 0.1676 0.3124 W
0.5723 0.6880 0.1681 W
0.2501 0.5000 0.5002 W
0.0723 0.1677 0.6884 W
0.7603 0.3120 0.1681 W
```

Output
The calculated volume comes out at 269 Å³ per cell. The calculation puts the density at 18.63 g/cm³. The density of states at the Fermi level comes out at 9.06 states/eV/cell.

***

B:
DFT (GGA-PBE) results for an optimized crystal structure of W5Au3.

Geometry as POSCAR:
```
W5Au3
1.0
-2.2592 2.9696 -7.1761
-1.4906 -7.7372 1.8256
-4.3280 1.2803 1.8924
Au W
6 10
direct
0.0000 0.4041 0.7500 Au
0.0000 0.5959 0.2500 Au
0.4041 0.0000 0.7500 Au
0.4042 0.4042 0.2500 Au
0.5958 0.0000 0.2500 Au
0.5959 0.5959 0.7500 Au
0.0000 0.1916 0.2500 W
0.0000 0.8085 0.7500 W
0.1916 0.0000 0.2500 W
0.1916 0.1916 0.7500 W
0.3333 0.6667 0.0000 W
0.3333 0.6667 0.5000 W
0.6667 0.3333 0.0000 W
0.6667 0.3333 0.5000 W
0.8084 0.0000 0.7500 W
0.8084 0.8084 0.2500 W
```

Output
The calculated volume comes out at 277 Å³ per cell. The calculation puts the density at 18.09 g/cm³. The density of states at the Fermi level comes out at 9.95 states/eV/cell.

***

Which structure is the least stable? The one labeled B.

***

A:
DFT (GGA-PBE) results for an optimized crystal structure of W3Au.

Geometry as POSCAR:
```
W3Au
1.0
7.3541 0.0000 0.0083
0.0000 4.3268 0.0000
-9.1239 0.0000 2.0742
Au W
1 3
direct
0.0000 0.0000 0.0000 Au
0.2323 0.5000 0.9680 W
0.5000 0.0000 0.0000 W
0.7677 0.5000 0.0320 W
```

Output
The calculated volume comes out at 66 Å³ per cell. The calculation puts the density at 18.74 g/cm³. The density of states at the Fermi level comes out at 2.99 states/eV/cell.

***

B:
DFT (GGA-PBE) results for an optimized crystal structure of W3Au.

Geometry as POSCAR:
```
W3Au
1.0
5.0107 0.0000 0.0000
0.0000 9.2678 0.0000
0.0000 0.0000 5.6613
Au W
4 12
direct
0.0800 0.7500 0.6192 Au
0.4200 0.2500 0.1192 Au
0.5800 0.7500 0.8808 Au
0.9200 0.2500 0.3808 Au
0.9167 0.2500 0.8799 W
0.2424 0.9968 0.3569 W
0.2424 0.5032 0.3569 W
0.2576 0.4968 0.8569 W
0.2576 0.0032 0.8569 W
0.5833 0.7500 0.3799 W
0.4167 0.2500 0.6201 W
0.7424 0.9968 0.1431 W
0.7424 0.5032 0.1431 W
0.7576 0.4968 0.6431 W
0.7576 0.0032 0.6431 W
0.0833 0.7500 0.1201 W
```

Output
The calculated volume comes out at 263 Å³ per cell. The calculation puts the density at 18.91 g/cm³. The density of states at the Fermi level comes out at 10.86 states/eV/cell.

***

Which structure is the least stable? The one labeled B.